(1)
LiGaGe | PBE-GGA | optimized geometry

abc: 5.6046 5.2875 3.9451
angles: 112.84 90.72 75.08
Fractional positions:
Ge 0.5258 0.5696 0.3564
Ge 0.8756 0.1997 0.6712
Ga 0.3636 0.2468 0.6882
Ga 0.7073 0.8925 0.0146
Li 0.0199 0.5550 0.3470
Li 0.2105 0.8898 0.0146

- ΔE_f: -8.8 kJ/mol of atoms
- SG: P1 (1)



(2)
Li6Ga2Ge | PBE-GGA | optimized geometry

abc: 5.1840 5.1862 5.1862
angles: 95.90 95.87 95.87
Fractional positions:
Li 0.1648 0.5002 0.8350
Li 0.8352 0.1650 0.4998
Li 0.8352 0.4998 0.1650
Li 0.5000 0.1649 0.8351
Li 0.1648 0.8350 0.5002
Li 0.5000 0.8351 0.1649
Ga 0.6614 0.6615 0.6615
Ga 0.3386 0.3385 0.3385
Ge 0.0000 0.0000 0.0000

- ΔE_f: -28.0 kJ/mol of atoms
- SG: R-3m (166)
- E above lowest polymorph: 0 meV/atom



(3)
Li2Ga2Ge | PBE-GGA | optimized geometry

abc: 7.4087 7.4087 3.0425
angles: 90.00 90.00 90.00
Fractional positions:
Ge 0.0000 0.0000 0.0000
Ge 0.5000 0.5000 0.0000
Ga 0.3746 0.8746 0.0000
Ga 0.8746 0.6254 0.0000
Ga 0.6254 0.1254 0.0000
Ga 0.1254 0.3746 0.0000
Li 0.1750 0.6750 0.5000
Li 0.6750 0.8250 0.5000
Li 0.8250 0.3250 0.5000
Li 0.3250 0.1750 0.5000

- ΔE_f: -13.8 kJ/mol of atoms
- SG: P4/mbm (127)
- E above lowest polymorph: 108 meV/atom



(4)
LiGaGe3 | PBE-GGA | optimized geometry

abc: 4.6383 4.6383 4.6383
angles: 90.00 90.00 90.00
Fractional positions:
Ge 0.0000 0.5000 0.0000
Ge 0.0000 0.0000 0.5000
Ge 0.5000 0.0000 0.0000
Ga 0.5000 0.5000 0.5000
Li 0.0000 0.0000 0.0000

- ΔE_f: 40.6 kJ/mol of atoms
- SG: Pm-3m (221)
- E above lowest polymorph: 0 meV/atom



(5)
LiGaGe | PBE-GGA | optimized geometry

abc: 4.2345 4.2345 6.8606
angles: 90.00 90.00 120.00
Fractional positions:
Ge 0.0000 0.0000 0.3066
Ge 0.0000 0.0000 0.6934
Ga 0.3333 0.6667 0.1920
Ga 0.3333 0.6667 0.8080
Li 0.6667 0.3333 0.0000
Li 0.6667 0.3333 0.5000

- ΔE_f: -21.5 kJ/mol of atoms
- SG: P-6m2 (187)



(6)
LiGaGe | PBE-GGA | optimized geometry

abc: 4.3740 6.7591 5.5120
angles: 52.18 66.62 90.00
Fractional positions:
Ge 0.3186 0.0157 0.3628
Ge 0.3186 0.6216 0.3628
Ga 0.9975 0.8047 0.0051
Ga 0.9975 0.1903 0.0051
Li 0.7203 0.2203 0.5594
Li 0.5927 0.5927 0.8146

- ΔE_f: -16.9 kJ/mol of atoms
- SG: Imm2 (44)



Which formula does entry 6 have?
LiGaGe



Please write out number 3 again, unchanged.
Li2Ga2Ge | PBE-GGA | optimized geometry

abc: 7.4087 7.4087 3.0425
angles: 90.00 90.00 90.00
Fractional positions:
Ge 0.0000 0.0000 0.0000
Ge 0.5000 0.5000 0.0000
Ga 0.3746 0.8746 0.0000
Ga 0.8746 0.6254 0.0000
Ga 0.6254 0.1254 0.0000
Ga 0.1254 0.3746 0.0000
Li 0.1750 0.6750 0.5000
Li 0.6750 0.8250 0.5000
Li 0.8250 0.3250 0.5000
Li 0.3250 0.1750 0.5000

- ΔE_f: -13.8 kJ/mol of atoms
- SG: P4/mbm (127)
- E above lowest polymorph: 108 meV/atom



ΔE_f of number 1 (LiGaGe)?
-8.8 kJ/mol of atoms



Among the records above, which one has the lowest ΔE_f?
Li6Ga2Ge